Record 1
DyHo2Co9: relaxed, GGA-PBE.

Output
* calculated formation energy: -0.189 eV per atom

Cell and atoms, written as extended XYZ:
```
12
Lattice="2.4846 1.4345 8.0956 -2.4846 1.4345 8.0956 0.0000 -2.8689 8.0956" Properties=species:S:1:pos:R:3 pbc="T T T"
Dy 0.0000 0.0000 0.0000
Ho 0.0000 0.0000 3.3960
Ho 0.0000 0.0000 20.8908
Co -1.2539 -0.7239 10.0743
Co 0.0000 0.0000 8.1334
Co 0.0000 -1.4479 14.2126
Co -1.2539 0.7239 14.2126
Co 0.0000 0.0000 12.1434
Co 1.2539 -0.7239 10.0743
Co 0.0000 1.4479 10.0743
Co 0.0000 0.0000 16.1535
Co 1.2539 0.7239 14.2126
```



Record 2
Dy2HoCo2: relaxed, GGA-PBE.

Output
* calculated formation energy: -0.163 eV per atom

Cell and atoms, written as extended XYZ:
```
10
Lattice="10.9263 0.0000 0.0000 0.0000 3.8722 0.0000 -3.1582 0.0000 5.1820" Properties=species:S:1:pos:R:3 pbc="T T T"
Dy 1.5228 0.0000 0.9534
Dy 0.7821 1.9361 4.2286
Dy 6.9859 1.9361 0.9534
Dy 6.2453 0.0000 4.2286
Ho -1.5791 0.0000 2.5910
Ho 3.8840 1.9361 2.5910
Co -2.4228 1.9361 4.3014
Co 4.7277 0.0000 0.8806
Co 3.0403 0.0000 4.3014
Co 10.1909 1.9361 0.8806
```



Record 3
DyHo2Co: relaxed, GGA-PBE.

Output
* calculated formation energy: -0.061 eV per atom

Cell and atoms, written as extended XYZ:
```
4
Lattice="3.3801 0.0000 0.0000 0.0000 3.3801 0.0000 0.0000 0.0000 8.7884" Properties=species:S:1:pos:R:3 pbc="T T T"
Dy 0.0000 0.0000 0.0000
Ho 1.6900 1.6900 2.7828
Ho 1.6900 1.6900 6.0055
Co 0.0000 0.0000 4.3942
```



Record 4
Dy5Ho3Co2: relaxed, GGA-PBE.

Output
* calculated formation energy: -0.035 eV per atom

Cell and atoms, written as extended XYZ:
```
20
Lattice="-5.0618 7.3378 3.8142 5.0618 -7.3378 3.8142 5.0618 7.3378 -3.8142" Properties=species:S:1:pos:R:3 pbc="T T T"
Dy 5.0618 3.7188 -1.9071
Dy 2.4635 1.8041 0.0000
Dy 0.0000 0.0000 1.9071
Dy 2.4635 -1.8041 3.8142
Dy 0.0000 3.6191 1.9071
Dy 5.0618 3.7188 1.9071
Dy 2.5982 9.1419 0.0000
Dy 0.0000 0.0000 5.7213
Dy 2.5982 5.5338 3.8142
Dy 0.0000 3.6191 5.7213
Ho 7.6576 1.8209 0.0000
Ho 5.0618 0.0000 1.9071
Ho 2.5959 5.5169 0.0000
Ho 2.4659 1.8209 3.8142
Ho 0.0000 7.3378 1.9071
Ho -2.5959 5.5169 3.8142
Co 5.0621 1.9060 0.0000
Co 0.0003 5.4318 0.0000
Co 5.0614 1.9060 3.8142
Co -0.0003 5.4318 3.8142
```



Record 5
Dy3HoCo: relaxed, GGA-PBE.

Output
* calculated formation energy: 0.008 eV per atom

Cell and atoms, written as extended XYZ:
```
5
Lattice="5.2635 0.0000 0.0000 0.0000 5.2635 0.0000 0.0000 0.0000 5.2635" Properties=species:S:1:pos:R:3 pbc="T T T"
Dy 0.0000 0.0000 2.6318
Dy 0.0000 2.6318 0.0000
Dy 2.6318 0.0000 0.0000
Ho 2.6318 2.6318 2.6318
Co 0.0000 0.0000 0.0000
```



Record 6
DyHo2Co: relaxed, GGA-PBE.

Output
* calculated formation energy: -0.145 eV per atom

Cell and atoms, written as extended XYZ:
```
16
Lattice="3.6550 0.0000 0.0000 0.0000 11.9173 0.0000 0.0000 0.0000 9.3048" Properties=species:S:1:pos:R:3 pbc="T T T"
Dy 0.0000 1.0007 2.3262
Dy 0.0000 10.9166 6.9786
Dy 1.8275 4.9579 6.9786
Dy 1.8275 6.9594 2.3262
Ho 0.0000 4.2796 0.6686
Ho 0.0000 4.2796 3.9838
Ho 0.0000 7.6377 5.3210
Ho 0.0000 7.6377 8.6363
Ho 1.8275 1.6790 5.3210
Ho 1.8275 1.6790 8.6363
Ho 1.8275 10.2383 0.6686
Ho 1.8275 10.2383 3.9838
Co 0.0000 2.9462 6.9786
Co 0.0000 8.9711 2.3262
Co 1.8275 3.0124 2.3262
Co 1.8275 8.9049 6.9786
```



Record 7
DyHo4Co4: relaxed, GGA-PBE.

Output
* calculated formation energy: -0.074 eV per atom

Cell and atoms, written as extended XYZ:
```
18
Lattice="8.3664 0.0000 0.0000 0.0000 8.3664 0.0000 0.0000 0.0000 5.5457" Properties=species:S:1:pos:R:3 pbc="T T T"
Dy 2.0916 2.0916 1.3864
Dy 6.2748 6.2748 4.1593
Ho 0.5173 5.6381 0.7313
Ho 1.4549 7.8491 3.5042
Ho 2.7283 4.7005 3.5042
Ho 3.6659 6.9115 0.7313
Ho 4.7005 1.4549 4.8144
Ho 5.6381 3.6659 2.0415
Ho 6.9115 0.5173 2.0415
Ho 7.8491 2.7283 4.8144
Co 0.1073 5.1201 3.4117
Co 0.9369 8.2591 0.6389
Co 3.2463 4.2905 0.6389
Co 4.0759 7.4295 3.4117
Co 4.2905 0.9369 2.1340
Co 5.1201 4.0759 4.9069
Co 7.4295 0.1073 4.9069
Co 8.2591 3.2463 2.1340
```



Record 8
Dy3HoCo: relaxed, GGA-PBE.

Output
* calculated formation energy: -0.019 eV per atom

Cell and atoms, written as extended XYZ:
```
20
Lattice="7.7467 0.0000 0.0000 0.0000 7.2559 0.0000 -2.9635 0.0000 9.5152" Properties=species:S:1:pos:R:3 pbc="T T T"
Dy 0.5501 1.4799 0.2937
Dy -0.9316 2.1480 5.0513
Dy 1.1051 0.0533 3.6334
Dy -0.3766 3.5747 8.3910
Dy 1.4237 4.5548 5.7815
Dy 2.9054 6.3290 1.0239
Dy 1.8778 0.9269 8.4913
Dy 3.3595 2.7010 3.7337
Dy 5.1598 3.6812 1.1242
Dy 3.6781 7.2026 5.8818
Dy 5.7148 5.1078 4.4639
Dy 4.2331 5.7760 9.2215
Ho 0.7014 4.0236 2.4384
Ho -0.7804 6.8602 7.1960
Ho 5.5636 0.3957 2.3192
Ho 4.0818 3.2322 7.0768
Co 1.7161 1.7816 5.7877
Co 3.1979 1.8463 1.0301
Co 1.5853 5.4096 8.4851
Co 3.0671 5.4743 3.7275
```



Record 9
Dy3Ho5Co2: relaxed, GGA-PBE.

Output
* calculated formation energy: -0.035 eV per atom

Cell and atoms, written as extended XYZ:
```
20
Lattice="-5.0502 7.3277 3.8172 5.0502 -7.3277 3.8172 5.0502 7.3277 -3.8172" Properties=species:S:1:pos:R:3 pbc="T T T"
Dy 7.5000 1.8191 0.0000
Dy 0.0000 0.0000 1.9086
Dy 2.4498 5.5086 0.0000
Dy 2.6004 1.8191 3.8172
Dy 0.0000 0.0000 5.7257
Dy -2.4498 5.5086 3.8172
Ho 5.0502 -3.6156 1.9086
Ho 2.5984 1.8139 0.0000
Ho 5.0502 0.0000 1.9086
Ho 2.5984 -1.8139 3.8172
Ho 5.0502 3.6156 1.9086
Ho 0.0000 3.7121 1.9086
Ho 2.4517 9.1416 0.0000
Ho 0.0000 7.3277 1.9086
Ho 2.4517 5.5139 3.8172
Ho 0.0000 10.9433 1.9086
Co 0.0012 1.9136 0.0000
Co 5.0514 5.4141 0.0000
Co -0.0012 1.9136 3.8172
Co 5.0490 5.4141 3.8172
```



Record 10
DyHo2Co: relaxed, GGA-PBE.

Output
* calculated formation energy: -0.006 eV per atom

Cell and atoms, written as extended XYZ:
```
12
Lattice="3.7379 0.0000 0.0000 -1.8690 3.2372 0.0000 0.0000 0.0000 26.7039" Properties=species:S:1:pos:R:3 pbc="T T T"
Dy 0.0000 0.0000 0.0000
Dy 0.0000 2.1581 17.8026
Dy 1.8690 1.0790 8.9013
Ho 0.0000 0.0000 14.8301
Ho 0.0000 0.0000 20.6811
Ho 0.0000 2.1581 5.9288
Ho 0.0000 2.1581 11.7798
Ho 1.8690 1.0790 2.8785
Ho 1.8690 1.0790 23.7314
Co 0.0000 0.0000 4.4008
Co 0.0000 2.1581 22.2034
Co 1.8690 1.0790 13.3021
```



Record 11
Dy6HoCo3: relaxed, GGA-PBE.

Output
* calculated formation energy: -0.052 eV per atom

Cell and atoms, written as extended XYZ:
```
20
Lattice="5.7247 -6.1058 0.0000 5.7247 6.1058 0.0000 0.0000 0.0000 7.1947" Properties=species:S:1:pos:R:3 pbc="T T T"
Dy 2.8790 3.0564 3.6635
Dy 5.7247 5.8557 3.5973
Dy 3.2653 0.0002 1.8089
Dy 3.2653 -0.0002 5.4062
Dy 5.7247 2.0559 5.4158
Dy 8.5703 3.0564 3.6635
Dy 2.8790 -3.0564 0.0662
Dy 5.7247 -2.0559 1.8185
Dy 8.1841 0.0002 1.8089
Dy 8.1841 -0.0002 5.4062
Dy 5.7247 -5.8557 0.0000
Dy 8.5703 -3.0564 0.0662
Ho 5.7247 2.2360 1.8129
Ho 5.7247 -2.2360 5.4102
Co 4.4732 4.4105 5.5416
Co 6.9762 4.4105 5.5416
Co 5.7247 0.0182 3.6156
Co 5.7247 -0.0182 0.0183
Co 4.4732 -4.4105 1.9443
Co 6.9762 -4.4105 1.9443
```



Record 12
DyHo7Co2: relaxed, GGA-PBE.

Output
* calculated formation energy: 0.087 eV per atom

Cell and atoms, written as extended XYZ:
```
10
Lattice="4.3250 -6.8147 0.0000 4.3250 6.8147 0.0000 0.0000 0.0000 5.0743" Properties=species:S:1:pos:R:3 pbc="T T T"
Dy 0.0000 0.0000 0.0000
Ho 1.6732 1.8423 2.5372
Ho 4.3250 2.7670 0.0000
Ho 1.6732 -1.8423 2.5372
Ho 4.3250 0.0000 2.5372
Ho 6.9768 1.8423 2.5372
Ho 4.3250 -2.7670 0.0000
Ho 6.9768 -1.8423 2.5372
Co 4.3250 2.7881 2.5372
Co 4.3250 -2.7881 2.5372
```



Record 13
Dy2HoCo2: relaxed, GGA-PBE.

Output
* calculated formation energy: -0.139 eV per atom

Cell and atoms, written as extended XYZ:
```
10
Lattice="6.1606 -1.8989 0.0000 6.1606 1.8989 0.0000 -5.5178 0.0000 9.3338" Properties=species:S:1:pos:R:3 pbc="T T T"
Dy -0.6317 0.0000 1.8197
Dy -1.1322 0.0000 5.3576
Dy 7.9356 0.0000 3.9762
Dy 7.4351 0.0000 7.5141
Ho 2.7614 0.0000 1.3011
Ho 4.0421 0.0000 8.0327
Co -0.3971 0.0000 8.8716
Co 2.6827 0.0000 5.6525
Co 4.1208 0.0000 3.6813
Co 7.2005 0.0000 0.4622
```



Record 14
DyHo2Co: relaxed, GGA-PBE.

Output
* calculated formation energy: -0.171 eV per atom

Cell and atoms, written as extended XYZ:
```
16
Lattice="6.9193 0.0000 0.0000 0.0000 9.3709 0.0000 0.0000 0.0000 6.2116" Properties=species:S:1:pos:R:3 pbc="T T T"
Dy 0.2944 2.3427 0.8759
Dy 3.1652 7.0281 3.9816
Dy 3.7541 2.3427 2.2299
Dy 6.6249 7.0281 5.3357
Ho 1.2057 0.6347 4.2042
Ho 1.2057 4.0507 4.2042
Ho 2.2540 5.3202 1.0984
Ho 2.2540 8.7361 1.0984
Ho 4.6653 0.6347 5.1132
Ho 4.6653 4.0507 5.1132
Ho 5.7136 5.3202 2.0074
Ho 5.7136 8.7361 2.0074
Co 0.7830 7.0281 2.8018
Co 2.6766 2.3427 5.9075
Co 4.2427 7.0281 0.3040
Co 6.1363 2.3427 3.4098
```



Record 15
DyHoCo2: relaxed, GGA-PBE.

Output
* calculated formation energy: -0.216 eV per atom

Cell and atoms, written as extended XYZ:
```
8
Lattice="3.8517 0.0000 0.0000 0.0000 5.5175 0.0000 0.0000 0.0000 7.4613" Properties=species:S:1:pos:R:3 pbc="T T T"
Dy 0.0000 0.7370 0.0000
Dy 0.0000 4.7805 3.7307
Ho 1.9259 2.0230 2.6549
Ho 1.9259 3.4944 6.3856
Co 0.0000 1.9396 4.8485
Co 0.0000 3.5779 1.1179
Co 1.9259 0.8342 5.2611
Co 1.9259 4.6832 1.5305
```



Record 16
DyHo4Co: relaxed, GGA-PBE.

Output
* calculated formation energy: -0.040 eV per atom

Cell and atoms, written as extended XYZ:
```
12
Lattice="11.8428 0.0000 0.0000 0.0000 3.5414 0.0000 -2.8976 0.0000 7.7283" Properties=species:S:1:pos:R:3 pbc="T T T"
Dy 0.0000 0.0000 0.0000
Dy 5.9214 1.7707 0.0000
Ho 0.3989 1.7707 2.9219
Ho -0.2895 1.7707 6.1344
Ho 3.3133 0.0000 1.5940
Ho 2.6249 0.0000 4.8064
Ho 6.3203 0.0000 2.9219
Ho 5.6319 0.0000 6.1344
Ho 9.2347 1.7707 1.5940
Ho 8.5463 1.7707 4.8064
Co -1.4488 0.0000 3.8642
Co 4.4726 1.7707 3.8642
```



Record 17
DyHoCoI: relaxed, GGA-PBE.

Output
* formation energy (no corrections): -0.5677 eV/atom

Cell and atoms, written as extended XYZ:
```
12
Lattice="3.9446 0.0000 0.0000 -1.9723 3.4162 0.0000 0.0000 0.0000 23.5364" Properties=species:S:1:pos:R:3 pbc="T T T"
Dy 0.0000 0.0000 0.0000
Dy 0.0000 2.2774 15.6909
Dy 1.9723 1.1387 7.8455
Ho 0.0000 0.0000 5.0611
Ho 0.0000 2.2774 20.7520
Ho 1.9723 1.1387 12.9066
Co 0.0000 0.0000 14.2960
Co 0.0000 2.2774 6.4505
Co 1.9723 1.1387 22.1415
I 0.0000 0.0000 18.2540
I 0.0000 2.2774 10.4085
I 1.9723 1.1387 2.5630
```



Record 18
DyHoCoIr: relaxed, GGA-PBE.

Output
* calculated formation energy: -0.528 eV per atom

Cell and atoms, written as extended XYZ:
```
16
Lattice="6.7688 0.0000 0.0000 0.0000 6.7688 0.0000 0.0000 0.0000 6.7688" Properties=species:S:1:pos:R:3 pbc="T T T"
Dy 0.0000 0.0000 0.0000
Dy 0.0000 3.3844 3.3844
Dy 3.3844 0.0000 3.3844
Dy 3.3844 3.3844 0.0000
Ho 0.0000 0.0000 3.3844
Ho 0.0000 3.3844 0.0000
Ho 3.3844 0.0000 0.0000
Ho 3.3844 3.3844 3.3844
Co 1.6922 1.6922 1.6922
Co 1.6922 5.0766 5.0766
Co 5.0766 1.6922 5.0766
Co 5.0766 5.0766 1.6922
Ir 1.6922 1.6922 5.0766
Ir 1.6922 5.0766 1.6922
Ir 5.0766 1.6922 1.6922
Ir 5.0766 5.0766 5.0766
```



Record 19
DyHoMgCo: relaxed, GGA-PBE.

Output
* calculated formation energy: -0.144 eV per atom

Cell and atoms, written as extended XYZ:
```
4
Lattice="3.3908 0.0000 0.0000 0.0000 3.3908 0.0000 0.0000 0.0000 8.0531" Properties=species:S:1:pos:R:3 pbc="T T T"
Dy 0.0000 0.0000 0.0000
Ho 0.0000 0.0000 4.8202
Mg 1.6954 1.6954 2.4238
Co 1.6954 1.6954 6.4242
```



Record 20
DyHoMgCo: relaxed, GGA-PBE.

Output
* calculated formation energy: -0.013 eV per atom

Cell and atoms, written as extended XYZ:
```
16
Lattice="7.0814 0.0000 0.0000 0.0000 7.0814 0.0000 0.0000 0.0000 7.0814" Properties=species:S:1:pos:R:3 pbc="T T T"
Dy 0.0000 0.0000 0.0000
Dy 0.0000 3.5407 3.5407
Dy 3.5407 0.0000 3.5407
Dy 3.5407 3.5407 0.0000
Ho 0.0000 0.0000 3.5407
Ho 0.0000 3.5407 0.0000
Ho 3.5407 0.0000 0.0000
Ho 3.5407 3.5407 3.5407
Mg 1.7704 1.7704 5.3111
Mg 1.7704 5.3111 1.7704
Mg 5.3111 1.7704 1.7704
Mg 5.3111 5.3111 5.3111
Co 1.7704 1.7704 1.7704
Co 1.7704 5.3111 5.3111
Co 5.3111 1.7704 5.3111
Co 5.3111 5.3111 1.7704
```



The following electronic total energy values (in eV per atom) correspond, in order, to the records above: -6.665, -5.761, -5.277, -5.131, -5.090, -5.361, -5.778, -5.117, -5.126, -5.222, -5.403, -4.999, -5.738, -5.387, -6.064, -5.043, -5.027, -6.815, -4.614, -4.484.